# 1
{"formula": "Pr2Zn2SnPt5", "functional": "PBE", "state": "optimized geometry", "final_energy_ry_per_atom": -0.397, "lattice": [[9.932, 0.000, 0.000], [0.000, 9.932, 0.000], [0.000, 0.000, 3.862]], "species": ["Pr", "Pr", "Pr", "Pr", "Zn", "Zn", "Zn", "Zn", "Sn", "Sn", "Pt", "Pt", "Pt", "Pt", "Pt", "Pt", "Pt", "Pt", "Pt", "Pt"], "fractional_positions": [[0.179, 0.321, 0.000], [0.321, 0.821, 0.000], [0.679, 0.179, 0.000], [0.821, 0.679, 0.000], [0.118, 0.618, 0.000], [0.382, 0.118, 0.000], [0.618, 0.882, 0.000], [0.882, 0.382, 0.000], [0.000, 0.000, 0.000], [0.500, 0.500, 0.000], [0.000, 0.500, 0.500], [0.062, 0.789, 0.500], [0.211, 0.062, 0.500], [0.289, 0.562, 0.500], [0.438, 0.289, 0.500], [0.500, 0.000, 0.500], [0.562, 0.711, 0.500], [0.711, 0.438, 0.500], [0.789, 0.938, 0.500], [0.938, 0.211, 0.500]]}

=====

# 2
{"formula": "Th2Mg3Hg2", "functional": "PBE", "state": "optimized geometry", "final_energy_ry_per_atom": -0.218, "lattice": [[4.988, 0.000, 0.000], [0.000, 22.072, 0.000], [0.000, 0.000, 3.363]], "species": ["Th", "Th", "Th", "Th", "Mg", "Mg", "Mg", "Mg", "Mg", "Mg", "Hg", "Hg", "Hg", "Hg"], "fractional_positions": [[0.000, 0.156, 0.000], [0.000, 0.844, 0.000], [0.500, 0.344, 0.000], [0.500, 0.656, 0.000], [0.000, 0.000, 0.000], [0.000, 0.430, 0.500], [0.000, 0.570, 0.500], [0.500, 0.070, 0.500], [0.500, 0.500, 0.000], [0.500, 0.930, 0.500], [0.000, 0.290, 0.500], [0.000, 0.710, 0.500], [0.500, 0.210, 0.500], [0.500, 0.790, 0.500]]}

=====

# 3
{"formula": "LiReAu2", "functional": "PBE", "state": "optimized geometry", "final_energy_ry_per_atom": -0.375, "lattice": [[10.230, 0.000, 0.000], [0.000, 2.695, 0.000], [-1.056, 0.000, 4.785]], "species": ["Li", "Li", "Re", "Re", "Au", "Au", "Au", "Au"], "fractional_positions": [[0.000, 0.000, 0.000], [0.500, 0.500, 0.000], [0.231, 0.000, 0.563], [0.731, 0.500, 0.563], [0.246, 0.500, 0.068], [0.489, 0.000, 0.509], [0.746, 0.000, 0.068], [0.989, 0.500, 0.509]]}

=====

# 4
{"formula": "Li2MgPd6", "functional": "PBE", "state": "optimized geometry", "final_energy_ry_per_atom": -0.320, "lattice": [[6.714, -2.681, 0.000], [6.714, 2.681, 0.000], [-1.300, 0.000, 3.988]], "species": ["Li", "Li", "Mg", "Pd", "Pd", "Pd", "Pd", "Pd", "Pd"], "fractional_positions": [[0.173, 0.173, 0.173], [0.827, 0.827, 0.827], [0.500, 0.500, 0.000], [0.148, 0.646, 0.397], [0.292, 0.292, 0.792], [0.354, 0.852, 0.603], [0.646, 0.148, 0.397], [0.708, 0.708, 0.208], [0.852, 0.354, 0.603]]}

=====

# 5
{"formula": "Sc3Ge5Se12", "functional": "PBE", "state": "optimized geometry", "e_form_raw_ev_per_fu": -12.8, "lattice": [[-7.902, 7.902, 7.902], [7.902, -7.902, 7.902], [7.902, 7.902, -7.902]], "species": ["Sc", "Sc", "Sc", "Sc", "Sc", "Sc", "Sc", "Sc", "Sc", "Sc", "Sc", "Sc", "Ge", "Ge", "Ge", "Ge", "Ge", "Ge", "Ge", "Ge", "Ge", "Ge", "Ge", "Ge", "Ge", "Ge", "Ge", "Ge", "Ge", "Ge", "Ge", "Ge", "Se", "Se", "Se", "Se", "Se", "Se", "Se", "Se", "Se", "Se", "Se", "Se", "Se", "Se", "Se", "Se", "Se", "Se", "Se", "Se", "Se", "Se", "Se", "Se", "Se", "Se", "Se", "Se", "Se", "Se", "Se", "Se", "Se", "Se", "Se", "Se", "Se", "Se", "Se", "Se", "Se", "Se", "Se", "Se", "Se", "Se", "Se", "Se"], "fractional_positions": [[0.125, 0.250, 0.375], [0.125, 0.375, 0.750], [0.250, 0.375, 0.125], [0.250, 0.875, 0.625], [0.375, 0.125, 0.250], [0.375, 0.750, 0.125], [0.625, 0.250, 0.875], [0.625, 0.875, 0.750], [0.750, 0.125, 0.375], [0.750, 0.625, 0.875], [0.875, 0.625, 0.250], [0.875, 0.750, 0.625], [0.000, 0.000, 0.000], [0.000, 0.000, 0.500], [0.000, 0.500, 0.000], [0.000, 0.500, 0.500], [0.125, 0.750, 0.875], [0.125, 0.875, 0.250], [0.250, 0.125, 0.875], [0.250, 0.625, 0.375], [0.375, 0.250, 0.625], [0.375, 0.625, 0.750], [0.500, 0.000, 0.000], [0.500, 0.000, 0.500], [0.500, 0.500, 0.000], [0.500, 0.500, 0.500], [0.625, 0.375, 0.250], [0.625, 0.750, 0.375], [0.750, 0.375, 0.625], [0.750, 0.875, 0.125], [0.875, 0.125, 0.750], [0.875, 0.250, 0.125], [0.046, 0.222, 0.136], [0.046, 0.324, 0.910], [0.086, 0.722, 0.676], [0.086, 0.864, 0.410], [0.090, 0.636, 0.414], [0.090, 0.954, 0.676], [0.136, 0.046, 0.222], [0.136, 0.590, 0.914], [0.176, 0.222, 0.586], [0.176, 0.454, 0.590], [0.222, 0.136, 0.046], [0.222, 0.586, 0.176], [0.278, 0.324, 0.914], [0.278, 0.454, 0.364], [0.324, 0.910, 0.046], [0.324, 0.914, 0.278], [0.364, 0.278, 0.454], [0.364, 0.586, 0.910], [0.410, 0.086, 0.864], [0.410, 0.824, 0.546], [0.414, 0.090, 0.636], [0.414, 0.824, 0.778], [0.454, 0.364, 0.278], [0.454, 0.590, 0.176], [0.546, 0.410, 0.824], [0.546, 0.636, 0.722], [0.586, 0.176, 0.222], [0.586, 0.910, 0.364], [0.590, 0.176, 0.454], [0.590, 0.914, 0.136], [0.636, 0.414, 0.090], [0.636, 0.722, 0.546], [0.676, 0.086, 0.722], [0.676, 0.090, 0.954], [0.722, 0.546, 0.636], [0.722, 0.676, 0.086], [0.778, 0.414, 0.824], [0.778, 0.864, 0.954], [0.824, 0.546, 0.410], [0.824, 0.778, 0.414], [0.864, 0.410, 0.086], [0.864, 0.954, 0.778], [0.910, 0.046, 0.324], [0.910, 0.364, 0.586], [0.914, 0.136, 0.590], [0.914, 0.278, 0.324], [0.954, 0.676, 0.090], [0.954, 0.778, 0.864]]}

=====

# 6
{"formula": "CaScZn2Co", "functional": "PBE", "state": "optimized geometry", "final_energy_ry_per_atom": -0.274, "lattice": [[4.793, 0.000, 0.000], [0.000, 4.793, 0.000], [0.000, 0.000, 4.470]], "species": ["Ca", "Sc", "Zn", "Zn", "Co"], "fractional_positions": [[0.000, 0.000, 0.000], [0.500, 0.500, 0.000], [0.000, 0.500, 0.500], [0.500, 0.000, 0.500], [0.500, 0.500, 0.500]]}

=====

# 7
{"formula": "BaLiS2", "functional": "PBE", "state": "optimized geometry", "e_form_raw_ev_per_fu": -4.4, "lattice": [[7.325, 0.000, 0.000], [0.000, 7.325, 0.000], [0.000, 0.000, 7.325]], "species": ["Ba", "Ba", "Ba", "Ba", "Li", "Li", "Li", "Li", "S", "S", "S", "S", "S", "S", "S", "S"], "fractional_positions": [[0.000, 0.000, 0.000], [0.000, 0.500, 0.500], [0.500, 0.000, 0.500], [0.500, 0.500, 0.000], [0.000, 0.000, 0.500], [0.000, 0.500, 0.000], [0.500, 0.000, 0.000], [0.500, 0.500, 0.500], [0.250, 0.250, 0.250], [0.250, 0.250, 0.750], [0.250, 0.750, 0.250], [0.250, 0.750, 0.750], [0.750, 0.250, 0.250], [0.750, 0.250, 0.750], [0.750, 0.750, 0.250], [0.750, 0.750, 0.750]]}

=====

# 8
{"formula": "Cs2CrHgI", "functional": "PBE", "state": "optimized geometry", "e_form_raw_ev_per_fu": 1.3, "lattice": [[6.620, 0.000, 0.000], [0.000, 6.620, 0.000], [0.000, 0.000, 4.952]], "species": ["Cs", "Cs", "Cr", "Hg", "I"], "fractional_positions": [[0.000, 0.500, 0.000], [0.500, 0.000, 0.000], [0.000, 0.000, 0.000], [0.500, 0.500, 0.500], [0.000, 0.000, 0.500]]}

=====

# 9
{"formula": "Ta3VBr", "functional": "PBE", "state": "optimized geometry", "e_form_raw_ev_per_fu": 7.0, "lattice": [[4.747, 0.000, 0.000], [0.000, 4.747, 0.000], [0.000, 0.000, 4.747]], "species": ["Ta", "Ta", "Ta", "V", "Br"], "fractional_positions": [[0.000, 0.000, 0.500], [0.000, 0.500, 0.000], [0.500, 0.000, 0.000], [0.000, 0.000, 0.000], [0.500, 0.500, 0.500]]}

=====

# 10
{"formula": "La2TaInN", "functional": "PBE", "state": "optimized geometry", "e_form_raw_ev_per_fu": -3.1, "lattice": [[5.330, 0.000, 0.000], [0.000, 5.330, 0.000], [0.000, 0.000, 4.152]], "species": ["La", "La", "Ta", "In", "N"], "fractional_positions": [[0.000, 0.500, 0.000], [0.500, 0.000, 0.000], [0.000, 0.000, 0.500], [0.500, 0.500, 0.500], [0.000, 0.000, 0.000]]}

=====

# 11
{"formula": "LaRh2F", "functional": "PBE", "state": "optimized geometry", "e_form_raw_ev_per_fu": -4.5, "lattice": [[3.639, 0.000, 0.000], [0.000, 3.639, 0.000], [0.000, 0.000, 21.966]], "species": ["La", "La", "La", "La", "Rh", "Rh", "Rh", "Rh", "Rh", "Rh", "Rh", "Rh", "F", "F", "F", "F"], "fractional_positions": [[0.000, 0.000, 0.000], [0.000, 0.500, 0.250], [0.500, 0.000, 0.750], [0.500, 0.500, 0.500], [0.249, 0.250, 0.125], [0.250, 0.749, 0.375], [0.250, 0.751, 0.875], [0.251, 0.250, 0.625], [0.749, 0.750, 0.625], [0.750, 0.249, 0.875], [0.750, 0.251, 0.375], [0.751, 0.750, 0.125], [0.000, 0.000, 0.500], [0.000, 0.500, 0.750], [0.500, 0.000, 0.250], [0.500, 0.500, 0.000]]}

=====

# 12
{"formula": "LaMgAg", "functional": "PBE", "state": "optimized geometry", "final_energy_ry_per_atom": -0.242, "lattice": [[3.488, 0.000, 0.000], [0.000, 3.488, 0.000], [0.000, 0.000, 12.595]], "species": ["La", "La", "Mg", "Mg", "Ag", "Ag"], "fractional_positions": [[0.000, 0.000, 0.000], [0.500, 0.500, 0.500], [0.000, 0.000, 0.707], [0.500, 0.500, 0.207], [0.000, 0.000, 0.323], [0.500, 0.500, 0.823]]}

=====

# 13
{"formula": "HfTiSeBr2", "functional": "PBE", "state": "optimized geometry", "e_form_raw_ev_per_fu": 0.2, "lattice": [[5.193, 0.000, 0.000], [0.000, 5.193, 0.000], [0.000, 0.000, 5.201]], "species": ["Hf", "Ti", "Se", "Br", "Br"], "fractional_positions": [[0.000, 0.000, 0.000], [0.500, 0.500, 0.500], [0.000, 0.000, 0.500], [0.000, 0.500, 0.000], [0.500, 0.000, 0.000]]}

=====

# 14
{"formula": "LuThN", "functional": "PBE", "state": "optimized geometry", "e_form_raw_ev_per_fu": -2.2, "lattice": [[3.249, 0.000, 0.000], [0.000, 3.249, 0.000], [0.000, 0.000, 13.458]], "species": ["Lu", "Lu", "Th", "Th", "N", "N"], "fractional_positions": [[0.000, 0.000, 0.000], [0.500, 0.500, 0.500], [0.000, 0.000, 0.291], [0.500, 0.500, 0.791], [0.000, 0.000, 0.462], [0.500, 0.500, 0.962]]}

=====

# 15
{"formula": "Li4PmAl", "functional": "PBE", "state": "optimized geometry", "final_energy_ry_per_atom": -0.201, "lattice": [[0.000, 3.872, 3.872], [3.872, 0.000, 3.872], [3.872, 3.872, 0.000]], "species": ["Li", "Li", "Li", "Li", "Pm", "Al"], "fractional_positions": [[0.123, 0.123, 0.123], [0.123, 0.123, 0.631], [0.123, 0.631, 0.123], [0.631, 0.123, 0.123], [0.500, 0.500, 0.500], [0.750, 0.750, 0.750]]}

=====

# 16
{"formula": "Cd2PtW", "functional": "PBE", "state": "optimized geometry", "final_energy_ry_per_atom": -0.350, "lattice": [[4.271, 0.000, 0.000], [0.000, 4.271, 0.000], [0.000, 0.000, 7.814]], "species": ["Cd", "Cd", "Cd", "Cd", "Pt", "Pt", "W", "W"], "fractional_positions": [[0.000, 0.000, 0.000], [0.000, 0.500, 0.250], [0.500, 0.000, 0.750], [0.500, 0.500, 0.500], [0.000, 0.500, 0.750], [0.500, 0.000, 0.250], [0.000, 0.000, 0.500], [0.500, 0.500, 0.000]]}

=====

# 17
{"formula": "BaAu3Cl", "functional": "PBE", "state": "optimized geometry", "e_form_raw_ev_per_fu": 3.3, "lattice": [[6.138, 0.000, 0.000], [0.000, 6.138, 0.000], [0.000, 0.000, 6.138]], "species": ["Ba", "Au", "Au", "Au", "Cl"], "fractional_positions": [[0.000, 0.000, 0.000], [0.000, 0.000, 0.500], [0.000, 0.500, 0.000], [0.500, 0.000, 0.000], [0.500, 0.500, 0.500]]}

=====

# 18
{"formula": "Ba2TlHg3Bi4", "functional": "PBE", "state": "optimized geometry", "final_energy_ry_per_atom": -0.193, "lattice": [[4.918, 0.000, 0.000], [0.000, 4.918, 0.000], [0.000, 0.000, 14.601]], "species": ["Ba", "Ba", "Tl", "Hg", "Hg", "Hg", "Bi", "Bi", "Bi", "Bi"], "fractional_positions": [[0.000, 0.500, 0.244], [0.500, 0.000, 0.756], [0.000, 0.000, 0.500], [0.000, 0.500, 0.859], [0.500, 0.000, 0.141], [0.500, 0.500, 0.500], [0.000, 0.000, 0.000], [0.000, 0.500, 0.658], [0.500, 0.000, 0.342], [0.500, 0.500, 0.000]]}

=====

# 19
{"formula": "Ba12Si5Sn", "functional": "PBE", "state": "optimized geometry", "e_form_raw_ev_per_fu": -5.5, "lattice": [[-5.487, 5.739, 5.906], [5.487, -5.739, 5.906], [5.487, 5.739, -5.906]], "species": ["Ba", "Ba", "Ba", "Ba", "Ba", "Ba", "Ba", "Ba", "Ba", "Ba", "Ba", "Ba", "Si", "Si", "Si", "Si", "Si", "Sn"], "fractional_positions": [[0.022, 0.218, 0.803], [0.181, 0.284, 0.465], [0.181, 0.716, 0.897], [0.322, 0.021, 0.699], [0.322, 0.623, 0.301], [0.415, 0.218, 0.197], [0.585, 0.782, 0.803], [0.678, 0.377, 0.699], [0.678, 0.979, 0.301], [0.819, 0.284, 0.103], [0.819, 0.716, 0.535], [0.978, 0.782, 0.197], [0.000, 0.000, 0.000], [0.103, 0.603, 0.500], [0.389, 0.000, 0.389], [0.611, 0.000, 0.611], [0.897, 0.397, 0.500], [0.500, 0.500, 0.000]]}

=====

# 20
{"formula": "CoTe4Ru", "functional": "PBE", "state": "optimized geometry", "e_form_raw_ev_per_fu": -0.4, "lattice": [[4.276, -7.435, 0.000], [4.276, 7.435, 0.000], [-4.245, 0.000, 4.365]], "species": ["Co", "Co", "Te", "Te", "Te", "Te", "Te", "Te", "Te", "Te", "Ru", "Ru"], "fractional_positions": [[0.184, 0.816, 0.750], [0.816, 0.184, 0.250], [0.122, 0.522, 0.308], [0.161, 0.273, 0.647], [0.273, 0.161, 0.147], [0.478, 0.878, 0.192], [0.522, 0.122, 0.808], [0.727, 0.839, 0.853], [0.839, 0.727, 0.353], [0.878, 0.478, 0.692], [0.436, 0.564, 0.250], [0.564, 0.436, 0.750]]}